1.
Material: CrTcAs
Method: DFT, PBE
State: optimized geometry

The structure in CIF format:
```
data_CrTcAs
_chemical_formula_sum 'Cr4 Tc4 As4'
_symmetry_space_group_name_H-M 'F -4 3 m'
_symmetry_Int_Tables_number 216
_symmetry_space_group_name_Hall 'F -4 2 3'
_cell_length_a 5.685
_cell_length_b 5.685
_cell_length_c 5.685
_cell_angle_alpha 90.00
_cell_angle_beta 90.00
_cell_angle_gamma 90.00
loop_
_atom_site_label
_atom_site_fract_x
_atom_site_fract_y
_atom_site_fract_z
Cr1 0.000 0.000 0.000
Tc1 0.250 0.250 0.750
As1 0.250 0.250 0.250
```

=====

2.
Material: CrTcAs
Method: DFT, PBE
State: optimized geometry

The structure in CIF format:
```
data_CrTcAs
_chemical_formula_sum 'Cr1 Tc1 As1'
_symmetry_space_group_name_H-M 'P -6 m 2'
_symmetry_Int_Tables_number 187
_symmetry_space_group_name_Hall 'P -6 2'
_cell_length_a 4.1039
_cell_length_b 4.1039
_cell_length_c 2.8334
_cell_angle_alpha 90.00
_cell_angle_beta 90.00
_cell_angle_gamma 120.00
loop_
_atom_site_label
_atom_site_fract_x
_atom_site_fract_y
_atom_site_fract_z
Cr1 0.0000 0.0000 0.0000
Tc1 0.3333 0.6667 0.5000
As1 0.6667 0.3333 0.0000
```

=====

3.
Material: CrTc2As
Method: DFT, PBE
State: optimized geometry

The structure in CIF format:
```
data_CrTc2As
_chemical_formula_sum 'Cr1 Tc2 As1'
_symmetry_space_group_name_H-M 'P 1 2/m 1'
_symmetry_Int_Tables_number 10
_cell_length_a 2.803
_cell_length_b 3.907
_cell_length_c 5.373
_cell_angle_alpha 90.00
_cell_angle_beta 101.79
_cell_angle_gamma 90.00
loop_
_symmetry_equiv_pos_as_xyz
'x,y,z'
'-x,-y,-z'
'-x,y,-z'
'x,-y,z'
loop_
_atom_site_label
_atom_site_fract_x
_atom_site_fract_y
_atom_site_fract_z
Cr1 0.000 0.000 0.000
Tc1 0.381 0.500 0.751
As1 0.000 0.000 0.500
```

=====

4.
Material: CrTc2As
Method: DFT, PBE
State: optimized geometry

The structure in CIF format:
```
data_CrTc2As
_chemical_formula_sum 'Cr2 Tc4 As2'
_symmetry_space_group_name_H-M 'C m m m'
_symmetry_Int_Tables_number 65
_symmetry_space_group_name_Hall '-C 2 2'
_cell_length_a 2.979
_cell_length_b 4.633
_cell_length_c 8.431
_cell_angle_alpha 90.00
_cell_angle_beta 90.00
_cell_angle_gamma 90.00
loop_
_atom_site_label
_atom_site_fract_x
_atom_site_fract_y
_atom_site_fract_z
Cr1 0.000 0.000 0.000
Tc1 0.000 0.500 0.236
As1 0.000 0.000 0.500
```

=====

5.
Material: Cr2TcAs
Method: DFT, PBE
State: optimized geometry

The structure in CIF format:
```
data_Cr2TcAs
_chemical_formula_sum 'Cr6 Tc3 As3'
_symmetry_space_group_name_H-M 'R -3 m'
_symmetry_Int_Tables_number 166
_symmetry_space_group_name_Hall '-R 3 2"'
_cell_length_a 2.7815
_cell_length_b 2.7815
_cell_length_c 24.1946
_cell_angle_alpha 90.00
_cell_angle_beta 90.00
_cell_angle_gamma 120.00
loop_
_atom_site_label
_atom_site_fract_x
_atom_site_fract_y
_atom_site_fract_z
Cr1 0.0000 0.0000 0.2490
Tc1 0.0000 0.0000 0.0000
As1 0.0000 0.0000 0.5000
```

=====

6.
Material: CrTcAs
Method: DFT, PBE
State: optimized geometry

The structure in CIF format:
```
data_CrTcAs
_chemical_formula_sum 'Cr2 Tc2 As2'
_symmetry_space_group_name_H-M 'P 4/n m m'
_symmetry_Int_Tables_number 129
_cell_length_a 3.185
_cell_length_b 3.185
_cell_length_c 8.540
_cell_angle_alpha 90.00
_cell_angle_beta 90.00
_cell_angle_gamma 90.00
loop_
_symmetry_equiv_pos_as_xyz
'x,y,z'
'-x,-y,-z'
'-y+1/2,x,z'
'y+1/2,-x,-z'
'-x+1/2,-y+1/2,z'
'x+1/2,y+1/2,-z'
'y,-x+1/2,z'
'-y,x+1/2,-z'
'x+1/2,-y,-z'
'-x+1/2,y,z'
'-y,-x,-z'
'y,x,z'
'-x,y+1/2,-z'
'x,-y+1/2,z'
'y+1/2,x+1/2,-z'
'-y+1/2,-x+1/2,z'
loop_
_atom_site_label
_atom_site_fract_x
_atom_site_fract_y
_atom_site_fract_z
Cr1 0.250 0.250 0.235
Tc1 0.250 0.250 0.568
As1 0.250 0.250 0.884
```

=====

Number 1: DFT formation energy 3 kJ/mol of formula units, total moment 0.12 μB per atom. Number 2: DFT formation energy 16 kJ/mol of formula units, total moment 0.00 μB per atom. Number 3: DFT formation energy 67 kJ/mol of formula units, total moment 0.31 μB per atom. Number 4: DFT formation energy 139 kJ/mol of formula units, total moment 0.04 μB per atom. Number 5: DFT formation energy 100 kJ/mol of formula units, total moment 0.12 μB per atom. Number 6: DFT formation energy 27 kJ/mol of formula units, total moment 0.17 μB per atom.